Record 1
Si2P3RhO13: optimized geometry, PBE.

Calculated values
**ρ**: 2.9 Mg/m³
**Energy**: -278.79 eV/cell
**Energy relative to the elements, uncorrected**: -2.1321 eV/atom

CIF file:
```
data_Si2P3RhO13
_cell_length_a 8.2313
_cell_length_b 8.2313
_cell_length_c 8.8808
_cell_angle_alpha 90.00
_cell_angle_beta 90.00
_cell_angle_gamma 120.00
_symmetry_space_group_name_H-M 'P 3 2 1'
_symmetry_Int_Tables_number 150
_symmetry_space_group_name_Hall 'P 3 2"'
loop_
_atom_site_label
_atom_site_type_symbol
_atom_site_fract_x
_atom_site_fract_y
_atom_site_fract_z
Si1 Si 0.3333 0.6667 0.0064
Si2 Si 0.3333 0.6667 0.3693
P1 P 0.0000 0.2810 0.0000
P2 P 0.0000 0.7123 0.5000
Rh1 Rh 0.0000 0.0000 0.2548
O1 O 0.0948 0.2378 0.1276
O2 O 0.1006 0.8565 0.6229
O3 O 0.1471 0.6644 0.4307
O4 O 0.1548 0.4784 0.9352
O5 O 0.3333 0.6667 0.1875
```

Record 2
SnP2RhO8: optimized geometry, PBE.

Calculated values
**ρ**: 4.6 Mg/m³
**Energy**: -242.49 eV/cell
**Energy relative to the elements, uncorrected**: -1.5824 eV/atom

CIF file:
```
data_SnP2RhO8
_cell_length_a 4.7952
_cell_length_b 4.7952
_cell_length_c 22.2525
_cell_angle_alpha 90.00
_cell_angle_beta 90.00
_cell_angle_gamma 120.00
_symmetry_space_group_name_H-M 'R -3'
_symmetry_Int_Tables_number 148
_symmetry_space_group_name_Hall '-R 3'
loop_
_atom_site_label
_atom_site_type_symbol
_atom_site_fract_x
_atom_site_fract_y
_atom_site_fract_z
Sn1 Sn 0.0000 0.0000 0.0000
P1 P 0.0000 0.0000 0.2422
Rh1 Rh 0.0000 0.0000 0.5000
O1 O 0.0000 0.0000 0.3113
O2 O 0.0158 0.6512 0.8875
```

Record 3
SnP2RhO: optimized geometry, PBE.

Calculated values
**E above lowest polymorph**: 653.9 meV/atom
**ρ**: 5.1 Mg/m³
**Energy**: -23.23 eV/cell
**Energy relative to the elements, uncorrected**: 0.7813 eV/atom

CIF file:
```
data_SnP2RhO
_cell_length_a 5.051
_cell_length_b 5.051
_cell_length_c 3.817
_cell_angle_alpha 90.00
_cell_angle_beta 90.00
_cell_angle_gamma 90.00
_symmetry_space_group_name_H-M 'P 4/m m m'
_symmetry_Int_Tables_number 123
_symmetry_space_group_name_Hall '-P 4 2'
loop_
_atom_site_label
_atom_site_type_symbol
_atom_site_fract_x
_atom_site_fract_y
_atom_site_fract_z
Sn1 Sn 0.000 0.000 0.000
P1 P 0.000 0.500 0.000
Rh1 Rh 0.500 0.500 0.500
O1 O 0.000 0.000 0.500
```

Record 4
SnP2RhO: optimized geometry, PBE.

Calculated values
**E above lowest polymorph**: 0.0 meV/atom
**ρ**: 5.6 Mg/m³
**Energy**: -26.50 eV/cell
**Energy relative to the elements, uncorrected**: 0.1274 eV/atom

CIF file:
```
data_SnP2RhO
_cell_length_a 4.900
_cell_length_b 4.900
_cell_length_c 3.719
_cell_angle_alpha 90.00
_cell_angle_beta 90.00
_cell_angle_gamma 90.00
_symmetry_space_group_name_H-M 'P 4/m m m'
_symmetry_Int_Tables_number 123
_symmetry_space_group_name_Hall '-P 4 2'
loop_
_atom_site_label
_atom_site_type_symbol
_atom_site_fract_x
_atom_site_fract_y
_atom_site_fract_z
Sn1 Sn 0.000 0.000 0.000
P1 P 0.000 0.500 0.500
Rh1 Rh 0.500 0.500 0.500
O1 O 0.500 0.500 0.000
```

Record 5
SrP2RhO: optimized geometry, PBE.

Calculated values
**E above lowest polymorph**: 0.0 meV/atom
**ρ**: 4.6 Mg/m³
**Energy**: -26.55 eV/cell
**Energy relative to the elements, uncorrected**: -0.3480 eV/atom

CIF file:
```
data_SrP2RhO
_cell_length_a 4.469
_cell_length_b 4.469
_cell_length_c 4.843
_cell_angle_alpha 90.00
_cell_angle_beta 90.00
_cell_angle_gamma 90.00
_symmetry_space_group_name_H-M 'P 4/m m m'
_symmetry_Int_Tables_number 123
_symmetry_space_group_name_Hall '-P 4 2'
loop_
_atom_site_label
_atom_site_type_symbol
_atom_site_fract_x
_atom_site_fract_y
_atom_site_fract_z
Sr1 Sr 0.000 0.000 0.000
P1 P 0.000 0.500 0.500
Rh1 Rh 0.500 0.500 0.500
O1 O 0.500 0.500 0.000
```

Record 6
SrPRhO2: optimized geometry, PBE.

Calculated values
**E above lowest polymorph**: 1310.7 meV/atom
**ρ**: 3.6 Mg/m³
**Energy**: -21.30 eV/cell
**Energy relative to the elements, uncorrected**: 0.6116 eV/atom

CIF file:
```
data_SrPRhO2
_cell_length_a 4.207
_cell_length_b 4.207
_cell_length_c 6.610
_cell_angle_alpha 90.00
_cell_angle_beta 90.00
_cell_angle_gamma 90.00
_symmetry_space_group_name_H-M 'P 4/m m m'
_symmetry_Int_Tables_number 123
_symmetry_space_group_name_Hall '-P 4 2'
loop_
_atom_site_label
_atom_site_type_symbol
_atom_site_fract_x
_atom_site_fract_y
_atom_site_fract_z
Sr1 Sr 0.000 0.000 0.000
P1 P 0.000 0.000 0.500
Rh1 Rh 0.500 0.500 0.500
O1 O 0.000 0.500 0.000
```

no.,DOS at the Fermi energy (states/eV per cell)
1,0.00
2,10.94
3,6.16
4,4.23
5,2.00
6,6.50